# KZrSc2

A relaxed KZrSc2 crystal (PBE, Alexandria via LeMat-Bulk).

Unit cell a=5.4167 b=5.4167 c=5.4167 alpha=60.00 beta=60.00 gamma=60.00
With the nearest neighbours (Å) after each atom.
Sites, in units of the cell vectors:
K1 0.5000 0.5000 0.5000  4 Sc 3.32, 4 Zr 3.32
Sc1 0.0000 0.0000 0.0000  4 Zr 3.32, 4 Sc 3.32
Sc2 0.2500 0.2500 0.2500  4 Sc 3.32, 4 K 3.32
Zr1 0.7500 0.7500 0.7500  4 K 3.32, 4 Sc 3.32

Summary:
DOS(E_F) = 7.577 states/eV per cell
E = -4.7222 eV/atom
Energy relative to the lowest polymorph listed for this composition = 2.236 eV per formula unit